AcNdGa2 | GGA-PBE | optimized geometry

Cell: 3.8257 3.8257 7.5458 Å, 90.00 90.00 90.00°
Fractional positions:
Ac 0.0000 0.0000 0.0000
Nd 0.0000 0.0000 0.5000
Ga 0.5000 0.5000 0.2732
Ga 0.5000 0.5000 0.7268

Summary:
N(E_F): 0.530 states/eV/atom
SG: P4/mmm, No. 123
formation energy: -0.493 eV per atom